A geometry-optimized KCdOs structure. Source: the Alexandria database, functional PBE.

Unit cell a=6.6334 b=6.6334 c=6.6334 alpha=148.93 beta=148.93 gamma=44.52
Fractional positions:
Cd  0.0482  0.0482  0.0000
K  0.3288  0.3288  0.0000
Os  0.6230  0.6230  0.0000

Values from the calculation:
Fermi-level density of states: 3.15 states/eV/f.u.
V: 77.5 Å³/cell
DFT formation energy: 1.099 eV per atom
Distance to the lowest polymorph of the same formula: 0.2365 eV/atom

***

A geometry-optimized LiDy4Mg3 structure. Source: the Alexandria database, functional PBE.

Unit cell a=5.3312 b=5.3312 c=9.2209 alpha=73.20 beta=73.20 gamma=60.00
Fractional positions:
Mg  0.2484  0.2484  0.2548
Mg  0.7516  0.7516  0.7452
Mg  0.5000  0.5000  0.5000
Dy  0.8762  0.8762  0.3715
Dy  0.3741  0.3741  0.8777
Dy  0.1238  0.1238  0.6285
Dy  0.6259  0.6259  0.1223
Li  0.0000  0.0000  0.0000

Values from the calculation:
Fermi-level density of states: 10.03 states/eV/f.u.
V: 213.9 Å³/cell
DFT formation energy: -0.022 eV per atom

***

- Number 1 is which compound?
  KCdOs

***

Copy entry 1 word for word.
A geometry-optimized KCdOs structure. Source: the Alexandria database, functional PBE.

Unit cell a=6.6334 b=6.6334 c=6.6334 alpha=148.93 beta=148.93 gamma=44.52
Fractional positions:
Cd  0.0482  0.0482  0.0000
K  0.3288  0.3288  0.0000
Os  0.6230  0.6230  0.0000

Values from the calculation:
Fermi-level density of states: 3.15 states/eV/f.u.
V: 77.5 Å³/cell
DFT formation energy: 1.099 eV per atom
Distance to the lowest polymorph of the same formula: 0.2365 eV/atom

***

- Among the records above, which one has the lowest V?
  KCdOs